No. 1
The following is a DFT calculation (GGA-PBE) of a relaxed Na2CF crystal.

Its energy above the most stable polymorph in this dataset is 0.00 kcal/mol of atoms. For the total energy, the calculation gives -3.491 eV/atom. The crystal system is tetragonal. The value obtained for the uncorrected formation energy is -0.058 eV/atom. As for the volume: 77.34 Å³/f.u.

The space group is I-42d (No. 122) and the conventional cell measures 6.2335, 6.2335 and 7.9616 Å, with angles of 90.00, 90.00 and 90.00 degrees. The asymmetric unit holds Na at (0.2024, 0.7500, 0.1250), C at (0.0000, 0.0000, 0.5000) and F at (0.0000, 0.0000, 0.0000).



No. 2
The following is a DFT calculation (GGA-PBE) of a relaxed Na2CF crystal.

Its energy above the most stable polymorph in this dataset is 2.04 kcal/mol of atoms. For the total energy, the calculation gives -3.403 eV/atom. The crystal system is cubic. The value obtained for the uncorrected formation energy is 0.031 eV/atom. As for the volume: 59.63 Å³/f.u.

The space group is Fm-3m (No. 225) and the conventional cell measures 6.2018, 6.2018 and 6.2018 Å, with angles of 90.00, 90.00 and 90.00 degrees. The asymmetric unit holds Na at (0.2500, 0.2500, 0.2500), C at (0.0000, 0.0000, 0.0000) and F at (0.0000, 0.0000, 0.5000).



No. 3
The following is a DFT calculation (GGA-PBE) of a relaxed NaC2F crystal.

Its energy above the most stable polymorph in this dataset is 0.00 kcal/mol of atoms. For the total energy, the calculation gives -5.775 eV/atom. The crystal system is tetragonal. The value obtained for the uncorrected formation energy is -0.365 eV/atom. As for the volume: 53.65 Å³/f.u.

The space group is I4_1/amd (No. 141, origin choice 2) and the conventional cell measures 2.7704, 2.7704 and 27.9581 Å, with angles of 90.00, 90.00 and 90.00 degrees. The asymmetric unit holds Na at (0.0000, 0.2500, 0.3750), C at (0.0000, 0.0000, 0.0000) and F at (0.0000, 0.2500, 0.8750).



No. 4
The following is a DFT calculation (GGA-PBE) of a relaxed NaCOF2 crystal.

Its energy above the most stable polymorph in this dataset is 35.41 kcal/mol of atoms. For the total energy, the calculation gives -2.953 eV/atom. The crystal system is tetragonal. The value obtained for the uncorrected formation energy is 0.896 eV/atom. As for the volume: 74.81 Å³/f.u.

The space group is P4/mmm (No. 123) and the conventional cell measures 4.1484, 4.1484 and 4.3471 Å, with angles of 90.00, 90.00 and 90.00 degrees. The asymmetric unit holds Na at (0.0000, 0.0000, 0.0000), C at (0.5000, 0.5000, 0.5000), O at (0.0000, 0.0000, 0.5000) and F at (0.0000, 0.5000, 0.0000).



No. 5
The following is a DFT calculation (GGA-PBE) of a relaxed NaCOF2 crystal.

Its energy above the most stable polymorph in this dataset is 0.00 kcal/mol of atoms. For the total energy, the calculation gives -4.488 eV/atom. The crystal system is tetragonal. The value obtained for the uncorrected formation energy is -0.640 eV/atom. As for the volume: 50.06 Å³/f.u.

The space group is P4/mmm (No. 123) and the conventional cell measures 4.1760, 4.1760 and 2.8707 Å, with angles of 90.00, 90.00 and 90.00 degrees. The asymmetric unit holds Na at (0.0000, 0.0000, 0.0000), C at (0.5000, 0.5000, 0.5000), O at (0.5000, 0.5000, 0.0000) and F at (0.0000, 0.5000, 0.5000).



No. 6
The following is a DFT calculation (GGA-PBE) of a relaxed NaCO2F crystal.

For the total energy, the calculation gives -6.194 eV/atom. The crystal system is monoclinic. The value obtained for the uncorrected formation energy is -1.728 eV/atom. As for the volume: 71.05 Å³/f.u.

The space group is P2_1/m (No. 11) and the conventional cell measures 4.6994, 5.5935 and 5.8811 Å, with angles of 90.00, 113.20 and 90.00 degrees. The asymmetric unit holds Na at (0.0873, 0.2500, 0.2560), C at (0.4384, 0.2500, 0.8680), O at (0.2175, 0.2500, 0.6679), O at (0.4816, 0.2500, 0.0895) and F at (0.2575, 0.7500, 0.1601).



No. 7
The following is a DFT calculation (GGA-PBE) of a relaxed NaCO2F crystal.

For the total energy, the calculation gives -4.785 eV/atom. The crystal system is tetragonal. The value obtained for the uncorrected formation energy is -0.319 eV/atom. As for the volume: 52.86 Å³/f.u.

The space group is P4/mmm (No. 123) and the conventional cell measures 3.0746, 3.0746 and 5.5914 Å, with angles of 90.00, 90.00 and 90.00 degrees. The asymmetric unit holds Na at (0.0000, 0.0000, 0.0000), C at (0.5000, 0.5000, 0.5000), O at (0.0000, 0.5000, 0.5000) and F at (0.5000, 0.5000, 0.0000).



No. 8
The following is a DFT calculation (GGA-PBE) of a relaxed NaCO2F crystal.

For the total energy, the calculation gives -2.979 eV/atom. The crystal system is tetragonal. The value obtained for the uncorrected formation energy is 1.487 eV/atom. As for the volume: 78.76 Å³/f.u.

The space group is P4/mmm (No. 123) and the conventional cell measures 4.3760, 4.3760 and 4.1129 Å, with angles of 90.00, 90.00 and 90.00 degrees. The asymmetric unit holds Na at (0.0000, 0.0000, 0.0000), C at (0.5000, 0.5000, 0.5000), O at (0.0000, 0.5000, 0.0000) and F at (0.0000, 0.0000, 0.5000).



No. 9
The following is a DFT calculation (GGA-PBE) of a relaxed Na2YCO3F3 crystal.

For the total energy, the calculation gives -6.606 eV/atom. The crystal system is orthorhombic. The value obtained for the uncorrected formation energy is -2.724 eV/atom. As for the volume: 125.78 Å³/f.u.

The space group is Pbca (No. 61) and the conventional cell measures 6.5478, 10.7834 and 14.2507 Å, with angles of 90.00, 90.00 and 90.00 degrees. The asymmetric unit holds Na at (0.0540, 0.0079, 0.1063), Na at (0.2409, 0.7189, 0.7555), Y at (0.0042, 0.1841, 0.4860), C at (0.0013, 0.5192, 0.1746), O at (0.0034, 0.5590, 0.7585), O at (0.0508, 0.1347, 0.3168), O at (0.0663, 0.0127, 0.5898), F at (0.1523, 0.6255, 0.4805), F at (0.1950, 0.2199, 0.1017) and F at (0.2082, 0.1615, 0.9209).



No. 10
The following is a DFT calculation (GGA-PBE) of a relaxed NaYCO3F2 crystal.

For the total energy, the calculation gives -7.183 eV/atom. The crystal system is orthorhombic. The value obtained for the uncorrected formation energy is -2.730 eV/atom. As for the volume: 104.82 Å³/f.u.

The space group is Pnma (No. 62) and the conventional cell measures 6.3713, 7.0754 and 9.3013 Å, with angles of 90.00, 90.00 and 90.00 degrees. The asymmetric unit holds Na at (0.1719, 0.2500, 0.2182), Y at (0.0121, 0.2500, 0.5779), C at (0.0404, 0.7500, 0.0599), O at (0.1303, 0.7500, 0.1868), O at (0.1585, 0.2500, 0.9566), O at (0.1652, 0.7500, 0.9497) and F at (0.0421, 0.5597, 0.6301).



No. 11
The following is a DFT calculation (GGA-PBE) of a relaxed Na2YbC2O6F crystal.

For the total energy, the calculation gives -6.565 eV/atom. The crystal system is monoclinic. The value obtained for the uncorrected formation energy is -2.046 eV/atom. As for the volume: 156.73 Å³/f.u.

The space group is C2/c (No. 15) and the conventional cell measures 17.6277, 6.1766 and 11.5473 Å, with angles of 90.00, 94.23 and 90.00 degrees. The asymmetric unit holds Na at (0.1104, 0.0943, 0.3802), Na at (0.2482, 0.4081, 0.8632), Yb at (0.0581, 0.3348, 0.6287), C at (0.0639, 0.2083, 0.1157), C at (0.2095, 0.4169, 0.5834), O at (0.0062, 0.3137, 0.0650), O at (0.0815, 0.0171, 0.0832), O at (0.1029, 0.3062, 0.1994), O at (0.1554, 0.4110, 0.4998), O at (0.1997, 0.3030, 0.6758), O at (0.2316, 0.0347, 0.9261) and F at (0.0607, 0.2417, 0.8196).



No. 12
The following is a DFT calculation (GGA-PBE) of a relaxed NaYbCO3F2 crystal.

For the total energy, the calculation gives -6.289 eV/atom. The crystal system is orthorhombic. The value obtained for the uncorrected formation energy is -2.453 eV/atom. As for the volume: 106.14 Å³/f.u.

The space group is Pnma (No. 62) and the conventional cell measures 6.4496, 7.0389 and 9.3516 Å, with angles of 90.00, 90.00 and 90.00 degrees. The asymmetric unit holds Na at (0.1792, 0.2500, 0.2219), Yb at (0.0081, 0.2500, 0.5740), C at (0.0418, 0.7500, 0.0622), O at (0.1292, 0.7500, 0.1869), O at (0.1546, 0.2500, 0.9548), O at (0.1628, 0.7500, 0.9520) and F at (0.0419, 0.5604, 0.6321).



No. 13
The following is a DFT calculation (GGA-PBE) of a relaxed NaSb2CF crystal.

For the total energy, the calculation gives -3.289 eV/atom. The crystal system is tetragonal. The value obtained for the uncorrected formation energy is 0.843 eV/atom. As for the volume: 109.03 Å³/f.u.

The space group is P4/mmm (No. 123) and the conventional cell measures 4.7210, 4.7210 and 4.8917 Å, with angles of 90.00, 90.00 and 90.00 degrees. The asymmetric unit holds Na at (0.0000, 0.0000, 0.0000), Sb at (0.0000, 0.5000, 0.5000), C at (0.5000, 0.5000, 0.0000) and F at (0.5000, 0.5000, 0.5000).



No. 14
The following is a DFT calculation (GGA-PBE) of a relaxed NaTaC2F crystal.

For the total energy, the calculation gives -4.776 eV/atom. The crystal system is tetragonal. The value obtained for the uncorrected formation energy is 1.922 eV/atom. As for the volume: 74.00 Å³/f.u.

The space group is P4/mmm (No. 123) and the conventional cell measures 4.4308, 4.4308 and 3.7695 Å, with angles of 90.00, 90.00 and 90.00 degrees. The asymmetric unit holds Na at (0.0000, 0.0000, 0.0000), Ta at (0.5000, 0.5000, 0.0000), C at (0.0000, 0.5000, 0.5000) and F at (0.5000, 0.5000, 0.5000).



No. 15
The following is a DFT calculation (GGA-PBE) of a relaxed NaYC2F crystal.

For the total energy, the calculation gives -4.478 eV/atom. The crystal system is tetragonal. The value obtained for the uncorrected formation energy is 1.143 eV/atom. As for the volume: 189.53 Å³/f.u.

The space group is P4/mmm (No. 123) and the conventional cell measures 4.3299, 4.3299 and 10.1094 Å, with angles of 90.00, 90.00 and 90.00 degrees. The asymmetric unit holds Na at (0.0000, 0.0000, 0.0000), Y at (0.0000, 0.0000, 0.5000), C at (0.0000, 0.5000, 0.5000) and F at (0.5000, 0.5000, 0.0000).



No. 16
The following is a DFT calculation (GGA-PBE) of a relaxed NbCF crystal.

For the total energy, the calculation gives -8.221 eV/atom. The crystal system is monoclinic. The value obtained for the uncorrected formation energy is -1.166 eV/atom. As for the volume: 33.23 Å³/f.u.

The space group is C2/m (No. 12) and the conventional cell measures 7.1833, 3.2349 and 5.9734 Å, with angles of 90.00, 106.77 and 90.00 degrees. The asymmetric unit holds Nb at (0.1766, 0.0000, 0.1838), C at (0.0498, 0.5000, 0.9054) and F at (0.1688, 0.0000, 0.5802).



No. 17
The following is a DFT calculation (GGA-PBE) of a relaxed NbCF2 crystal.

Its energy above the most stable polymorph in this dataset is 25.15 kcal/mol of atoms. For the total energy, the calculation gives -5.448 eV/atom. The crystal system is trigonal. The value obtained for the uncorrected formation energy is 0.312 eV/atom. As for the volume: 70.71 Å³/f.u.

The space group is R-3m (No. 166, hexagonal axes) and the conventional cell measures 2.9418, 2.9418 and 28.3041 Å, with angles of 90.00, 90.00 and 120.00 degrees. The asymmetric unit holds Nb at (0.0000, 0.0000, 0.0000), C at (0.0000, 0.0000, 0.5000) and F at (0.0000, 0.0000, 0.0669).



No. 18
The following is a DFT calculation (GGA-PBE) of a relaxed NbCF2 crystal.

Its energy above the most stable polymorph in this dataset is 18.45 kcal/mol of atoms. For the total energy, the calculation gives -5.738 eV/atom. The crystal system is trigonal. The value obtained for the uncorrected formation energy is 0.021 eV/atom. As for the volume: 61.94 Å³/f.u.

The space group is R-3m (No. 166, hexagonal axes) and the conventional cell measures 2.7479, 2.7479 and 28.4170 Å, with angles of 90.00, 90.00 and 120.00 degrees. The asymmetric unit holds Nb at (0.0000, 0.0000, 0.0000), C at (0.0000, 0.0000, 0.5000) and F at (0.0000, 0.0000, 0.3872).



Which M_tot belongs to each record? In order, 3.00; 3.00; 0.00; 1.00; 0.01; 0.03; 0.14; 2.00; 0.00; 0.00; 1.04; 1.02; 0.95; 0.41; 0.00; 0.00; 0.79; 0.00 μB/f.u..